# 1
Below is a geometry-optimized CeCd2Bi4 structure, with properties calculated at the PBE-GGA level.

extended XYZ file:
```
7
Lattice="-2.719 -3.733 1.206 5.419 -3.950 -0.009 0.428 1.774 6.453" Properties=species:S:1:pos:R:3 pbc="T T T"
Bi 4.497 -1.674 4.956
Bi 1.350 -0.502 1.488
Bi -1.145 -0.979 3.830
Bi 1.350 -3.841 0.599
Ce 1.564 -2.954 3.825
Cd 4.203 -2.555 1.566
Cd 1.644 0.379 4.878
```

Summary:
The energy of formation is -0.215 eV/atom. Its total energy is -24.79 eV/cell.


# 2
Below is a geometry-optimized Cu2BiPdRu structure, with properties calculated at the PBE-GGA level.

extended XYZ file:
```
5
Lattice="4.658 0.000 0.000 0.000 4.754 0.000 0.000 0.000 4.658" Properties=species:S:1:pos:R:3 pbc="T T T"
Ru 0.000 2.377 0.000
Cu 0.000 0.000 2.329
Cu 2.329 0.000 0.000
Bi 2.329 2.377 2.329
Pd 0.000 0.000 0.000
```

Summary:
The energy of formation is 0.977 eV/atom. Its total energy is -21.66 eV/cell.


# 3
Below is a geometry-optimized Pr2TmIn4 structure, with properties calculated at the PBE-GGA level.

extended XYZ file:
```
7
Lattice="-3.731 -3.703 0.646 -1.509 0.641 -5.036 7.511 -3.771 0.055" Properties=species:S:1:pos:R:3 pbc="T T T"
Pr -0.175 -4.181 -3.265
Pr 2.447 -2.652 -1.071
Tm 0.000 0.000 0.000
In 3.087 -3.843 -4.199
In 1.975 -6.015 -1.357
In -0.815 -2.990 -0.136
In 0.296 -0.818 -2.978
```

Summary:
The energy of formation is -0.324 eV/atom. Its total energy is -27.25 eV/cell.


# 4
Below is a geometry-optimized Sr2Mg3Hg2 structure, with properties calculated at the PBE-GGA level.

extended XYZ file:
```
7
Lattice="-4.591 -0.908 -0.242 3.020 -4.153 3.666 -1.579 6.946 3.871" Properties=species:S:1:pos:R:3 pbc="T T T"
Sr -2.119 -2.259 3.317
Sr -1.030 4.143 3.978
Mg -2.295 -0.454 -0.121
Mg -2.787 1.335 2.499
Mg -0.361 0.549 4.796
Hg -3.030 1.790 5.396
Hg -0.119 0.094 1.899
```

Summary:
The energy of formation is -0.321 eV/atom. Its total energy is -11.00 eV/cell.


# 5
Below is a geometry-optimized Ca2ZrBr structure, with properties calculated at the PBE-GGA level.

extended XYZ file:
```
4
Lattice="-0.387 -3.335 0.981 0.520 -1.022 -3.304 9.218 -0.589 1.634" Properties=species:S:1:pos:R:3 pbc="T T T"
Ca 9.123 -0.583 1.617
Ca 4.704 -0.301 0.834
Br 6.980 -2.620 0.064
Zr 2.371 -2.326 -0.753
```

Summary:
For the offset from the most stable computed form, the calculation gives 31.4 meV/atom. Its total energy is -15.99 eV/cell.


Copy entry 1 word for word.
Below is a geometry-optimized CeCd2Bi4 structure, with properties calculated at the PBE-GGA level.

extended XYZ file:
```
7
Lattice="-2.719 -3.733 1.206 5.419 -3.950 -0.009 0.428 1.774 6.453" Properties=species:S:1:pos:R:3 pbc="T T T"
Bi 4.497 -1.674 4.956
Bi 1.350 -0.502 1.488
Bi -1.145 -0.979 3.830
Bi 1.350 -3.841 0.599
Ce 1.564 -2.954 3.825
Cd 4.203 -2.555 1.566
Cd 1.644 0.379 4.878
```

Summary:
The energy of formation is -0.215 eV/atom. Its total energy is -24.79 eV/cell.